1.
This record from Alexandria describes a relaxed structure of RbSrCa. The functional is GGA-PBE.

Output
ΔE_f: 132 meV/atom

Lattice parameters (Å, degrees): 4.253 6.281 15.882 79.05 89.58 90.00
Sites, in units of the cell vectors:
Rb: 0.000 0.000 0.000
Rb: 0.015 0.833 0.308
Sr: 0.503 0.592 0.809
Sr: 0.511 0.243 0.499
Ca: 0.005 0.135 0.721
Ca: 0.009 0.700 0.587

***

2.
This record from Alexandria describes a relaxed structure of CsPbS2N. The functional is GGA-PBE.

Output
E_form (uncorrected): 0.437 eV/atom
Excess energy over the best structure of this formula in the dataset: 0 meV per atom

Lattice parameters (Å, degrees): 5.386 5.386 4.875 90.00 90.00 90.00
Sites, in units of the cell vectors:
Cs: 0.000 0.000 0.000
Pb: 0.500 0.500 0.500
S: 0.000 0.500 0.500
S: 0.500 0.000 0.500
N: 0.500 0.500 0.000

***

3.
This record from Alexandria describes a relaxed structure of Tm4Sb2PS. The functional is GGA-PBE.

Output
E_form (uncorrected): -1.398 eV/atom

Lattice parameters (Å, degrees): 7.093 4.099 7.188 90.00 109.15 90.00
Sites, in units of the cell vectors:
Tm: 0.238 0.000 0.225
Tm: 0.254 0.500 0.773
Tm: 0.746 0.500 0.227
Tm: 0.762 0.000 0.775
Sb: 0.000 0.000 0.500
Sb: 0.500 0.500 0.500
P: 0.000 0.500 0.000
S: 0.500 0.000 0.000

***

4.
This record from Alexandria describes a relaxed structure of IrPt3. The functional is GGA-PBE.

Output
ΔE_f: 52 meV/atom

Lattice parameters (Å, degrees): 2.800 3.896 5.645 90.00 90.00 90.00
Sites, in units of the cell vectors:
Ir: 0.000 0.000 0.000
Pt: 0.000 0.000 0.500
Pt: 0.500 0.500 0.243
Pt: 0.500 0.500 0.757

***

5.
This record from Alexandria describes a relaxed structure of KSc2CdGe. The functional is GGA-PBE.

Output
ΔE_f: 1320 meV/atom

Lattice parameters (Å, degrees): 4.968 4.968 5.399 90.00 90.00 90.00
Sites, in units of the cell vectors:
K: 0.000 0.000 0.000
Sc: 0.000 0.500 0.000
Sc: 0.500 0.000 0.000
Cd: 0.500 0.500 0.500
Ge: 0.000 0.000 0.500

***

6.
This record from Alexandria describes a relaxed structure of La6PtSe5. The functional is GGA-PBE.

Output
E_form (uncorrected): -1.860 eV/atom

Lattice parameters (Å, degrees): 7.475 7.475 7.475 99.66 99.66 119.82
Sites, in units of the cell vectors:
La: 0.081 0.409 0.745
La: 0.245 0.245 0.252
La: 0.409 0.081 0.745
La: 0.591 0.919 0.255
La: 0.755 0.755 0.748
La: 0.919 0.591 0.255
Pt: 0.000 0.000 0.500
Se: 0.171 0.829 0.000
Se: 0.334 0.666 0.500
Se: 0.500 0.500 0.000
Se: 0.666 0.334 0.500
Se: 0.829 0.171 0.000

***

7.
This record from Alexandria describes a relaxed structure of CrHg2Pd8. The functional is GGA-PBE.

Output
ΔE_f: -54 meV/atom

Lattice parameters (Å, degrees): 7.435 7.435 7.435 149.85 113.14 75.07
Sites, in units of the cell vectors:
Cr: 0.000 0.000 0.000
Hg: 0.353 0.353 0.000
Hg: 0.647 0.647 0.000
Pd: 0.078 0.834 0.244
Pd: 0.167 0.667 0.500
Pd: 0.232 0.500 0.732
Pd: 0.410 0.166 0.244
Pd: 0.590 0.834 0.756
Pd: 0.768 0.500 0.268
Pd: 0.833 0.333 0.500
Pd: 0.922 0.166 0.756

***

8.
This record from Alexandria describes a relaxed structure of SmEr2AgC. The functional is GGA-PBE.

Output
ΔE_f: -197 meV/atom

Lattice parameters (Å, degrees): 4.780 4.780 5.184 90.00 90.00 90.00
Sites, in units of the cell vectors:
Sm: 0.000 0.000 0.000
Er: 0.000 0.500 0.504
Er: 0.500 0.000 0.504
Ag: 0.500 0.500 0.020
C: 0.000 0.000 0.525

***

9.
This record from Alexandria describes a relaxed structure of Sr2ScTc. The functional is GGA-PBE.

Output
ΔE_f: 371 meV/atom
Excess energy over the best structure of this formula in the dataset: 110 meV per atom

Lattice parameters (Å, degrees): 8.768 3.759 8.872 90.00 105.38 90.00
Sites, in units of the cell vectors:
Sr: 0.000 0.000 0.000
Sr: 0.156 0.000 0.576
Sr: 0.500 0.500 0.000
Sr: 0.656 0.500 0.576
Sc: 0.364 0.000 0.288
Sc: 0.864 0.500 0.288
Tc: 0.148 0.500 0.288
Tc: 0.648 0.000 0.288

***

10.
This record from Alexandria describes a relaxed structure of U3P3O. The functional is GGA-PBE.

Output
E_form (uncorrected): -1.109 eV/atom

Lattice parameters (Å, degrees): 5.722 5.722 5.722 110.10 110.10 110.10
Sites, in units of the cell vectors:
U: 0.199 0.199 0.602
U: 0.199 0.602 0.199
U: 0.602 0.199 0.199
P: 0.118 0.694 0.694
P: 0.694 0.118 0.694
P: 0.694 0.694 0.118
O: 0.324 0.324 0.324

***

11.
This record from Alexandria describes a relaxed structure of PuPH. The functional is GGA-PBE.

Output
Excess energy over the best structure of this formula in the dataset: 20 meV per atom

Lattice parameters (Å, degrees): 3.897 3.897 5.748 90.00 90.00 90.00
Sites, in units of the cell vectors:
Pu: 0.250 0.250 0.219
Pu: 0.750 0.750 0.781
P: 0.250 0.250 0.697
P: 0.750 0.750 0.303
H: 0.250 0.750 0.000
H: 0.750 0.250 0.000

***

12.
This record from Alexandria describes a relaxed structure of Mn2MoRu. The functional is GGA-PBE.

Output
ΔE_f: 107 meV/atom

Lattice parameters (Å, degrees): 4.056 2.660 9.709 90.00 90.00 90.00
Sites, in units of the cell vectors:
Mn: 0.000 0.000 0.000
Mn: 0.000 0.500 0.500
Mn: 0.500 0.000 0.115
Mn: 0.500 0.500 0.615
Mo: 0.000 0.000 0.739
Mo: 0.000 0.500 0.239
Ru: 0.500 0.000 0.388
Ru: 0.500 0.500 0.888